LiTh2Zn7 after structural relaxation, computed with PBE-GGA.

Unit cell a=4.371 b=4.371 c=9.943 alpha=90.00 beta=90.00 gamma=90.00
Space group P-4m2 (No. 115)
Asymmetric unit:
Li: 0.000 0.000 0.000 (multiplicity 1)
Th: 0.000 0.500 0.745 (multiplicity 2)
Zn: 0.000 0.000 0.500 (multiplicity 1)
Zn: 0.000 0.500 0.125 (multiplicity 2)
Zn: 0.000 0.500 0.368 (multiplicity 2)
Zn: 0.500 0.500 0.000 (multiplicity 1)
Zn: 0.500 0.500 0.500 (multiplicity 1)

Its calculated density is 8118 kg/m³. The value obtained for the formation energy is -217.3 meV per atom. For the spin magnetization, the calculation gives 0.000 μB/atom.